Entry from the Alexandria database: a relaxed structure of LiIn2Sb (PBE).

Properties
density of states at the Fermi level = 1.93 states/eV/f.u.
formation energy (no corrections) = -0.1164 eV/atom

Structure (CIF):
```
data_LiIn2Sb
_chemical_formula_sum 'Li2 In4 Sb2'
_cell_length_a 6.0014
_cell_length_b 11.7609
_cell_length_c 3.3878
_cell_angle_alpha 90.00
_cell_angle_beta 122.89
_cell_angle_gamma 90.00
_space_group_name_H-M_alt 'C 1 2/m 1'
_space_group_IT_number 12
loop_
_space_group_symop_operation_xyz
'x,y,z'
'-x,-y,-z'
'-x,y,-z'
'x,-y,z'
'x+1/2,y+1/2,z'
'-x+1/2,-y+1/2,-z'
'-x+1/2,y+1/2,-z'
'x+1/2,-y+1/2,z'
loop_
_atom_site_label
_atom_site_fract_x
_atom_site_fract_y
_atom_site_fract_z
Li1 0.0000 0.0000 0.0000
In1 0.2500 0.2500 0.0000
Sb1 0.0000 0.5000 0.0000
```

---

Entry from the Alexandria database: a relaxed structure of P2IrAu (PBE).

Properties
density of states at the Fermi level = 1.70 states/eV/f.u.
DFT formation energy = -0.10 eV per atom
energy above the lowest structure with this stoichiometry = 0.1296 eV/atom

Structure (CIF):
```
data_P2IrAu
_chemical_formula_sum 'P4 Ir2 Au2'
_cell_length_a 5.3940
_cell_length_b 6.0664
_cell_length_c 4.6072
_cell_angle_alpha 90.00
_cell_angle_beta 112.72
_cell_angle_gamma 90.00
_space_group_name_H-M_alt 'C 1 2 1'
_space_group_IT_number 5
loop_
_space_group_symop_operation_xyz
'x,y,z'
'-x,y,-z'
'x+1/2,y+1/2,z'
'-x+1/2,y+1/2,-z'
loop_
_atom_site_label
_atom_site_fract_x
_atom_site_fract_y
_atom_site_fract_z
P1 0.1698 0.0000 0.2308
Ir1 0.0000 0.7584 0.5000
Au1 0.0000 0.4299 0.0000
```

---

Entry from the Alexandria database: a relaxed structure of Sr12Ga5F3 (PBE).

Properties
density of states at the Fermi level = 20.22 states/eV/f.u.
formation energy (no corrections) = -0.4857 eV/atom

Structure (CIF):
```
data_Sr12Ga5F3
_chemical_formula_sum 'Sr96 Ga40 F24'
_cell_length_a 18.3484
_cell_length_b 18.3484
_cell_length_c 18.3484
_cell_angle_alpha 90.00
_cell_angle_beta 90.00
_cell_angle_gamma 90.00
_space_group_name_H-M_alt 'I a -3 d'
_space_group_IT_number 230
_space_group_name_Hall '-I 4bd 2c 3'
loop_
_atom_site_label
_atom_site_fract_x
_atom_site_fract_y
_atom_site_fract_z
Sr1 0.0268 0.0835 0.6448
Ga1 0.0000 0.0000 0.0000
Ga2 0.0000 0.2500 0.3750
F1 0.0000 0.2500 0.1250
```

---

Entry from the Alexandria database: a relaxed structure of Pr2ZnNiH (PBE).

Properties
density of states at the Fermi level = 4.20 states/eV/f.u.
E = -4.321 eV/atom

Structure (CIF):
```
data_Pr2ZnNiH
_chemical_formula_sum 'Pr4 Zn2 Ni2 H2'
_cell_length_a 6.3325
_cell_length_b 4.2794
_cell_length_c 7.7565
_cell_angle_alpha 90.00
_cell_angle_beta 105.17
_cell_angle_gamma 90.00
_space_group_name_H-M_alt 'P 1 21/m 1'
_space_group_IT_number 11
loop_
_space_group_symop_operation_xyz
'x,y,z'
'-x,-y,-z'
'-x,y+1/2,-z'
'x,-y+1/2,z'
loop_
_atom_site_label
_atom_site_fract_x
_atom_site_fract_y
_atom_site_fract_z
Pr1 0.2271 0.2500 0.4165
Pr2 0.2357 0.2500 0.9617
Zn1 0.3417 0.7500 0.7131
Ni1 0.4298 0.7500 0.2327
H1 0.1629 0.7500 0.1841
```

---

Entry from the Alexandria database: a relaxed structure of SmPaNi4 (PBE).

Properties
density of states at the Fermi level = 8.03 states/eV/f.u.
DFT formation energy = -0.30 eV per atom

Structure (CIF):
```
data_SmPaNi4
_chemical_formula_sum 'Sm4 Pa4 Ni16'
_cell_length_a 7.1895
_cell_length_b 7.1895
_cell_length_c 7.1895
_cell_angle_alpha 90.00
_cell_angle_beta 90.00
_cell_angle_gamma 90.00
_space_group_name_H-M_alt 'F -4 3 m'
_space_group_IT_number 216
_space_group_name_Hall 'F -4 2 3'
loop_
_atom_site_label
_atom_site_fract_x
_atom_site_fract_y
_atom_site_fract_z
Sm1 0.0000 0.0000 0.0000
Pa1 0.2500 0.2500 0.7500
Ni1 0.1243 0.1243 0.3757
```

---

Entry from the Alexandria database: a relaxed structure of Cr2TeCl (PBE).

Properties
density of states at the Fermi level = 2.92 states/eV/f.u.
formation energy (no corrections) = 0.1880 eV/atom
energy above the lowest structure with this stoichiometry = 0.2433 eV/atom

Structure (CIF):
```
data_Cr2TeCl
_chemical_formula_sum 'Cr8 Te4 Cl4'
_cell_length_a 6.9445
_cell_length_b 6.9445
_cell_length_c 6.9445
_cell_angle_alpha 90.00
_cell_angle_beta 90.00
_cell_angle_gamma 90.00
_space_group_name_H-M_alt 'F m -3 m'
_space_group_IT_number 225
_space_group_name_Hall '-F 4 2 3'
loop_
_atom_site_label
_atom_site_fract_x
_atom_site_fract_y
_atom_site_fract_z
Cr1 0.2500 0.2500 0.2500
Te1 0.0000 0.0000 0.0000
Cl1 0.0000 0.0000 0.5000
```

---

The highest density of states at the Fermi level belongs to which entry? Sr12Ga5F3